## K3Sn5F12 (PBE-GGA)

Data for crystalline K3Sn5F12 at its relaxed geometry.

Unit cell a=13.044 b=13.044 c=13.044 alpha=109.47 beta=109.47 gamma=109.47
Fractional positions:
1 K 0.125 0.250 0.375
2 K 0.125 0.375 0.750
3 K 0.250 0.375 0.125
4 K 0.250 0.875 0.625
5 K 0.375 0.125 0.250
6 K 0.375 0.750 0.125
7 K 0.625 0.250 0.875
8 K 0.625 0.875 0.750
9 K 0.750 0.125 0.375
10 K 0.750 0.625 0.875
11 K 0.875 0.625 0.250
12 K 0.875 0.750 0.625
13 Sn 0.000 0.000 0.000
14 Sn 0.000 0.000 0.500
15 Sn 0.000 0.500 0.000
16 Sn 0.000 0.500 0.500
17 Sn 0.125 0.750 0.875
18 Sn 0.125 0.875 0.250
19 Sn 0.250 0.125 0.875
20 Sn 0.250 0.625 0.375
21 Sn 0.375 0.250 0.625
22 Sn 0.375 0.625 0.750
23 Sn 0.500 0.000 0.000
24 Sn 0.500 0.000 0.500
25 Sn 0.500 0.500 0.000
26 Sn 0.500 0.500 0.500
27 Sn 0.625 0.375 0.250
28 Sn 0.625 0.750 0.375
29 Sn 0.750 0.375 0.625
30 Sn 0.750 0.875 0.125
31 Sn 0.875 0.125 0.750
32 Sn 0.875 0.250 0.125
33 F 0.033 0.205 0.130
34 F 0.033 0.328 0.903
35 F 0.075 0.705 0.672
36 F 0.075 0.870 0.403
37 F 0.097 0.630 0.425
38 F 0.097 0.967 0.672
39 F 0.130 0.033 0.205
40 F 0.130 0.597 0.925
41 F 0.172 0.205 0.575
42 F 0.172 0.467 0.597
43 F 0.205 0.130 0.033
44 F 0.205 0.575 0.172
45 F 0.295 0.328 0.925
46 F 0.295 0.467 0.370
47 F 0.328 0.903 0.033
48 F 0.328 0.925 0.295
49 F 0.370 0.295 0.467
50 F 0.370 0.575 0.903
51 F 0.403 0.075 0.870
52 F 0.403 0.828 0.533
53 F 0.425 0.097 0.630
54 F 0.425 0.828 0.795
55 F 0.467 0.370 0.295
56 F 0.467 0.597 0.172
57 F 0.533 0.403 0.828
58 F 0.533 0.630 0.705
59 F 0.575 0.172 0.205
60 F 0.575 0.903 0.370
61 F 0.597 0.172 0.467
62 F 0.597 0.925 0.130
63 F 0.630 0.425 0.097
64 F 0.630 0.705 0.533
65 F 0.672 0.075 0.705
66 F 0.672 0.097 0.967
67 F 0.705 0.533 0.630
68 F 0.705 0.672 0.075
69 F 0.795 0.425 0.828
70 F 0.795 0.870 0.967
71 F 0.828 0.533 0.403
72 F 0.828 0.795 0.425
73 F 0.870 0.403 0.075
74 F 0.870 0.967 0.795
75 F 0.903 0.033 0.328
76 F 0.903 0.370 0.575
77 F 0.925 0.130 0.597
78 F 0.925 0.295 0.328
79 F 0.967 0.672 0.097
80 F 0.967 0.795 0.870

Calculated values
Total DFT energy (no corrections), eV for the cell shown: -361.0

## Na3Zr2UN6 (PBE-GGA)

Data for crystalline Na3Zr2UN6 at its relaxed geometry.

Unit cell a=5.824 b=5.824 c=6.017 alpha=99.32 beta=99.32 gamma=119.98
Fractional positions:
1 Na 0.000 0.000 0.000
2 Na 0.330 0.670 0.000
3 Na 0.670 0.330 0.000
4 Zr 0.166 0.834 0.500
5 Zr 0.834 0.166 0.500
6 U 0.500 0.500 0.500
7 N 0.111 0.436 0.309
8 N 0.238 0.238 0.691
9 N 0.436 0.111 0.309
10 N 0.564 0.889 0.691
11 N 0.762 0.762 0.309
12 N 0.889 0.564 0.691

Calculated values
Total DFT energy (no corrections), eV for the cell shown: -94.2

## Na2GeRuO6 (PBE-GGA)

Data for crystalline Na2GeRuO6 at its relaxed geometry.

Unit cell a=5.129 b=5.129 c=4.946 alpha=90.00 beta=90.00 gamma=90.00
Fractional positions:
1 Na 0.000 0.500 0.000
2 Na 0.500 0.000 0.000
3 Ge 0.000 0.000 0.518
4 Ru 0.500 0.500 0.555
5 O 0.000 0.000 0.169
6 O 0.246 0.246 0.651
7 O 0.246 0.754 0.651
8 O 0.500 0.500 0.194
9 O 0.754 0.246 0.651
10 O 0.754 0.754 0.651

Calculated values
Total DFT energy (no corrections), eV for the cell shown: -58.4

## AlPdBr3 (PBE-GGA)

Data for crystalline AlPdBr3 at its relaxed geometry.

Unit cell a=5.190 b=5.190 c=5.190 alpha=90.00 beta=90.00 gamma=90.00
Fractional positions:
1 Al 0.000 0.000 0.000
2 Pd 0.500 0.500 0.500
3 Br 0.000 0.500 0.500
4 Br 0.500 0.000 0.500
5 Br 0.500 0.500 0.000

Calculated values
Total DFT energy (no corrections), eV for the cell shown: -14.7
E above lowest polymorph, eV per formula unit: 0.000

## Zr2TiMnGe (PBE-GGA)

Data for crystalline Zr2TiMnGe at its relaxed geometry.

Unit cell a=4.979 b=4.979 c=4.592 alpha=90.00 beta=90.00 gamma=90.00
Fractional positions:
1 Zr 0.000 0.500 0.000
2 Zr 0.500 0.000 0.000
3 Ti 0.000 0.000 0.500
4 Mn 0.500 0.500 0.500
5 Ge 0.000 0.000 0.000

Calculated values
Formation enthalpy at 0 K, eV/atom: 0.878
Total DFT energy (no corrections), eV for the cell shown: -34.4

## Pr2AsO (PBE-GGA)

Data for crystalline Pr2AsO at its relaxed geometry.

Unit cell a=7.322 b=7.322 c=7.322 alpha=30.68 beta=30.68 gamma=30.68
Fractional positions:
1 Pr 0.000 0.000 0.000
2 Pr 0.156 0.156 0.156
3 As 0.578 0.578 0.578
4 O 0.405 0.405 0.405

Calculated values
Total DFT energy (no corrections), eV for the cell shown: -26.2
E above lowest polymorph, eV per formula unit: 0.817

## ZnGaAg2 (PBE-GGA)

Data for crystalline ZnGaAg2 at its relaxed geometry.

Unit cell a=6.149 b=6.149 c=6.149 alpha=153.31 beta=132.96 gamma=54.90
Fractional positions:
1 Zn 0.000 0.000 0.000
2 Ga 0.500 0.500 0.000
3 Ag 0.248 0.248 0.000
4 Ag 0.752 0.752 0.000

Calculated values
Formation enthalpy at 0 K, eV/atom: 0.168
Total DFT energy (no corrections), eV for the cell shown: -9.3

## La2Au (PBE-GGA)

Data for crystalline La2Au at its relaxed geometry.

Unit cell a=7.445 b=5.188 c=9.516 alpha=90.00 beta=90.00 gamma=90.00
Fractional positions:
1 La 0.002 0.250 0.176
2 La 0.153 0.250 0.589
3 La 0.347 0.750 0.089
4 La 0.498 0.750 0.676
5 La 0.502 0.250 0.324
6 La 0.653 0.250 0.911
7 La 0.847 0.750 0.411
8 La 0.998 0.750 0.824
9 Au 0.240 0.250 0.907
10 Au 0.260 0.750 0.407
11 Au 0.740 0.250 0.593
12 Au 0.760 0.750 0.093

Calculated values
Formation enthalpy at 0 K, eV/atom: -0.564
Total DFT energy (no corrections), eV for the cell shown: -59.3

## LiCrSi2B (PBE-GGA)

Data for crystalline LiCrSi2B at its relaxed geometry.

Unit cell a=4.457 b=4.457 c=4.715 alpha=90.00 beta=90.00 gamma=90.00
Fractional positions:
1 Li 0.000 0.000 0.000
2 Cr 0.000 0.000 0.500
3 Si 0.000 0.500 0.500
4 Si 0.500 0.000 0.500
5 B 0.500 0.500 0.000

Calculated values
Total DFT energy (no corrections), eV for the cell shown: -22.5

## Ba2OsPt (PBE-GGA)

Data for crystalline Ba2OsPt at its relaxed geometry.

Unit cell a=4.674 b=6.002 c=6.002 alpha=49.82 beta=90.00 gamma=90.00
Fractional positions:
1 Ba 0.000 0.000 0.000
2 Ba 0.500 0.297 0.297
3 Os 0.000 0.680 0.680
4 Pt 0.500 0.609 0.609

Calculated values
Formation enthalpy at 0 K, eV/atom: -0.018
Total DFT energy (no corrections), eV for the cell shown: -21.2
E above lowest polymorph, eV per formula unit: 0.000

## SrHg2Ir (PBE-GGA)

Data for crystalline SrHg2Ir at its relaxed geometry.

Unit cell a=3.301 b=4.127 c=6.660 alpha=90.00 beta=90.00 gamma=90.00
Fractional positions:
1 Sr 0.000 0.000 0.000
2 Hg 0.500 0.500 0.288
3 Hg 0.500 0.500 0.712
4 Ir 0.000 0.000 0.500

Calculated values
Formation enthalpy at 0 K, eV/atom: 0.085
Total DFT energy (no corrections), eV for the cell shown: -10.8

What is the total DFT energy (no corrections) in the sixth record? -26.2 eV for the cell shown